CuIr2WCl: optimized geometry, GGA-PBE.

Calculated values
Space-group type: P4/mmm (123)
Uncorrected formation energy: 2090 meV per atom
Calculated volume: 95.2 Å³/f.u.

Unit cell a=4.5469 b=4.5469 c=4.6057 alpha=90.00 beta=90.00 gamma=90.00
Fractional coordinates of all 5 atoms:
Cu 0.0000 0.0000 0.0000
Ir 0.0000 0.5000 0.0000
Ir 0.5000 0.0000 0.0000
W 0.0000 0.0000 0.5000
Cl 0.5000 0.5000 0.5000